Compound: KLi2Mn2O4
Source: Alexandria
Functional: SCAN
Structure: PBEsol geometry

Cell and atoms, written as POSCAR:
```
KLi2Mn2O4
1.0
3.228 0.000 0.000
0.000 12.419 0.000
-0.333 0.000 5.351
K Li Mn O
2 4 4 8
Direct
0.058 0.250 0.150
0.942 0.750 0.850
0.472 0.644 0.357
0.472 0.856 0.357
0.528 0.144 0.643
0.528 0.356 0.643
0.000 0.000 0.500
0.000 0.500 0.500
0.500 0.000 0.000
0.500 0.500 0.000
0.038 0.099 0.783
0.038 0.401 0.783
0.420 0.588 0.672
0.420 0.912 0.672
0.580 0.088 0.328
0.580 0.412 0.328
0.962 0.599 0.217
0.962 0.901 0.217
```

## Properties
- Crystal system: monoclinic
- Space-group type: P2_1/m, No. 11
- DFT total energy: -183.8 eV/cell